Entry from Alexandria via LeMat-Bulk: a geometry-optimized Rb2CdMoF6 structure (PBE with a Hubbard U).

a = 6.2892 Å, b = 6.2892 Å, c = 6.5419 Å
α = 61.27°, β = 61.27°, γ = 90.00°
Positions (direct):
Cd: 0.0000 0.0000 0.0000
F: 0.7427 0.2573 0.0000
F: 0.2573 0.7427 0.0000
F: 0.7427 0.7427 0.0000
F: 0.2573 0.2573 0.0000
F: 0.2285 0.2285 0.5431
F: 0.7715 0.7715 0.4569
Rb: 0.7500 0.2500 0.5000
Rb: 0.2500 0.7500 0.5000
Mo: 0.5000 0.5000 0.0000

* calculated total energy: -44.96 eV per cell
* V: 18.98 Å³ per atom
* spin magnetization: 4.00 μB per formula unit
* DOS at the Fermi energy: 0.000 states/eV/cell